# TbGaCu2Pt4, optimized geometry, DFT PBE
data_TbGaCu2Pt4
_chemical_formula_sum 'Tb3 Ga3 Cu6 Pt12'
_symmetry_space_group_name_H-M 'R -3 m'
_symmetry_Int_Tables_number 166
_symmetry_space_group_name_Hall '-R 3 2"'
_cell_length_a 4.4124
_cell_length_b 4.4124
_cell_length_c 23.0724
_cell_angle_alpha 90.00
_cell_angle_beta 90.00
_cell_angle_gamma 120.00
loop_
_atom_site_label
_atom_site_type_symbol
_atom_site_fract_x
_atom_site_fract_y
_atom_site_fract_z
_atom_site_occupancy
Tb1 Tb 0.0000 0.0000 0.0000 1
Ga1 Ga 0.0000 0.0000 0.5000 1
Cu1 Cu 0.0000 0.0000 0.2530 1
Pt1 Pt 0.0000 0.0000 0.1300 1
Pt2 Pt 0.0000 0.0000 0.3943 1
# * energy of formation from the pure elements: -587 meV per atom